# 1
{"formula": "AlBi", "functional": "PBE-GGA", "state": "relaxed", "dos_at_fermi_per_ev_atom": 0.030, "ef_mev_per_atom": 196, "energy_ev_per_cell": -57.86, "spacegroup": "No. 83", "lattice_angstrom": [[12.0885, 0.0000, 0.0000], [0.0000, 12.0885, 0.0000], [0.0000, 0.0000, 4.4827]], "species": ["Al", "Al", "Al", "Al", "Al", "Al", "Al", "Al", "Bi", "Bi", "Bi", "Bi", "Bi", "Bi", "Bi", "Bi"], "fractional_positions": [[0.0532, 0.3957, 0.0000], [0.1297, 0.7126, 0.5000], [0.2874, 0.1297, 0.5000], [0.3957, 0.9468, 0.0000], [0.6043, 0.0532, 0.0000], [0.7126, 0.8703, 0.5000], [0.8703, 0.2874, 0.5000], [0.9468, 0.6043, 0.0000], [0.0987, 0.2676, 0.5000], [0.1929, 0.5862, 0.0000], [0.2676, 0.9013, 0.5000], [0.4138, 0.1929, 0.0000], [0.5862, 0.8071, 0.0000], [0.7324, 0.0987, 0.5000], [0.8071, 0.4138, 0.0000], [0.9013, 0.7324, 0.5000]]}

# 2
{"formula": "Pr4Sm7Sc", "functional": "PBE-GGA", "state": "relaxed", "dos_at_fermi_per_ev_atom": 1.364, "e_above_lowest_polymorph_kj_per_mol_atoms": 13.91, "ef_mev_per_atom": 174, "energy_ev_per_cell": -56.40, "spacegroup": "No. 12", "lattice_angstrom": [[5.7755, -2.7209, 0.0000], [5.7755, 2.7209, 0.0000], [-3.3807, 0.0000, 13.0918]], "species": ["Pr", "Pr", "Pr", "Pr", "Sm", "Sm", "Sm", "Sm", "Sm", "Sm", "Sm", "Sc"], "fractional_positions": [[0.0322, 0.0322, 0.2818], [0.3199, 0.3199, 0.2369], [0.6801, 0.6801, 0.7631], [0.9678, 0.9678, 0.7182], [0.1384, 0.1384, 0.9656], [0.2702, 0.2702, 0.6023], [0.4124, 0.4124, 0.8708], [0.5000, 0.5000, 0.5000], [0.5876, 0.5876, 0.1292], [0.7298, 0.7298, 0.3977], [0.8616, 0.8616, 0.0344], [0.0000, 0.0000, 0.5000]]}

Sequential mass density output: 4.8, 6.7 g cm⁻³